[1]
The following is a SCAN calculation of La2Tl at its PBEsol-relaxed geometry, from Alexandria.

a b c (Å): 3.673 17.361 5.603
angles (deg): 90.00 90.00 90.00
Fractional positions:
1 La 0.000 0.061 0.250
2 La 0.000 0.265 0.750
3 La 0.000 0.735 0.250
4 La 0.000 0.939 0.750
5 La 0.500 0.235 0.250
6 La 0.500 0.439 0.750
7 La 0.500 0.561 0.250
8 La 0.500 0.765 0.750
9 Tl 0.000 0.395 0.250
10 Tl 0.000 0.605 0.750
11 Tl 0.500 0.105 0.750
12 Tl 0.500 0.895 0.250

Properties
The calculated formation energy is -0.44 eV per atom. For the calculated total energy, the calculation gives -53.297 eV per atom.

---

[2]
The following is a SCAN calculation of La2Tl at its PBEsol-relaxed geometry, from Alexandria.

a b c (Å): 7.972 7.972 5.978
angles (deg): 90.00 90.00 90.00
Fractional positions:
1 La 0.152 0.348 0.000
2 La 0.152 0.652 0.500
3 La 0.348 0.152 0.500
4 La 0.348 0.848 0.000
5 La 0.652 0.152 0.000
6 La 0.652 0.848 0.500
7 La 0.848 0.348 0.500
8 La 0.848 0.652 0.000
9 Tl 0.000 0.000 0.250
10 Tl 0.000 0.000 0.750
11 Tl 0.500 0.500 0.250
12 Tl 0.500 0.500 0.750

Properties
The calculated formation energy is -0.36 eV per atom. For the calculated total energy, the calculation gives -53.221 eV per atom.

---

[3]
The following is a SCAN calculation of La2Tl at its PBEsol-relaxed geometry, from Alexandria.

a b c (Å): 5.206 5.206 3.799
angles (deg): 90.00 90.00 120.00
Fractional positions:
1 La 0.333 0.667 0.327
2 La 0.667 0.333 0.673
3 Tl 0.000 0.000 0.000

Properties
The calculated formation energy is -0.41 eV per atom. For the calculated total energy, the calculation gives -53.266 eV per atom.

---

[4]
The following is a SCAN calculation of La2Tl at its PBEsol-relaxed geometry, from Alexandria.

a b c (Å): 5.545 5.545 6.951
angles (deg): 90.00 90.00 120.00
Fractional positions:
1 La 0.000 0.000 0.000
2 La 0.000 0.000 0.500
3 La 0.333 0.667 0.250
4 La 0.667 0.333 0.750
5 Tl 0.333 0.667 0.750
6 Tl 0.667 0.333 0.250

Properties
The calculated formation energy is -0.51 eV per atom. For the calculated total energy, the calculation gives -53.363 eV per atom.

---

[5]
The following is a SCAN calculation of LaTl2W at its PBEsol-relaxed geometry, from Alexandria.

a b c (Å): 3.094 4.344 6.811
angles (deg): 90.00 90.00 90.00
Fractional positions:
1 La 0.000 0.000 0.000
2 Tl 0.500 0.500 0.286
3 Tl 0.500 0.500 0.714
4 W 0.000 0.000 0.500

Properties
The value obtained for the relative energy among the computed polymorphs is 0 meV per atom. The calculated formation energy is 0.46 eV per atom. For the calculated total energy, the calculation gives -63.916 eV per atom.

---

[6]
The following is a SCAN calculation of LaTl2W at its PBEsol-relaxed geometry, from Alexandria.

a b c (Å): 7.313 7.313 7.313
angles (deg): 90.00 90.00 90.00
Fractional positions:
1 La 0.000 0.000 0.000
2 La 0.000 0.500 0.500
3 La 0.500 0.000 0.500
4 La 0.500 0.500 0.000
5 Tl 0.000 0.000 0.500
6 Tl 0.000 0.500 0.000
7 Tl 0.250 0.250 0.250
8 Tl 0.250 0.750 0.750
9 Tl 0.500 0.000 0.000
10 Tl 0.500 0.500 0.500
11 Tl 0.750 0.250 0.750
12 Tl 0.750 0.750 0.250
13 W 0.250 0.250 0.750
14 W 0.250 0.750 0.250
15 W 0.750 0.250 0.250
16 W 0.750 0.750 0.750

Properties
The value obtained for the relative energy among the computed polymorphs is 368 meV per atom. The calculated formation energy is 0.83 eV per atom. For the calculated total energy, the calculation gives -63.548 eV per atom.